DFT (PBE) results for an optimized crystal structure of BaGa6Pd12.

DOS at the Fermi energy = 4.553 states/eV/f.u.
energy of formation from the pure elements = -0.598 eV per atom
volume = 334 Å³ per cell

POSCAR file:
```
BaGa6Pd12
1.0
5.784 3.339 2.878
-5.784 3.339 2.878
0.000 -6.678 2.878
Ba Ga Pd
1 6 12
Cartesian
0.000 0.000 0.000 Ba
0.000 -2.923 3.472 Ga
-2.531 1.461 3.472 Ga
-2.531 -1.461 5.162 Ga
2.531 1.461 3.472 Ga
2.531 -1.461 5.162 Ga
0.000 2.923 5.162 Ga
-2.173 -3.765 4.317 Pd
-4.347 0.000 4.317 Pd
-1.484 -0.857 2.962 Pd
1.484 -0.857 2.962 Pd
0.000 1.713 2.962 Pd
2.173 -3.765 4.317 Pd
-2.173 3.765 4.317 Pd
0.000 -1.713 5.672 Pd
-1.484 0.857 5.672 Pd
1.484 0.857 5.672 Pd
4.347 0.000 4.317 Pd
2.173 3.765 4.317 Pd
```